Density functional theory data (GGA-PBEsol) for crystalline Sb2PtSe at its relaxed geometry.

It has space group Imm2 (No. 44), with a = 3.660 Å, b = 4.573 Å, c = 10.991 Å, α = 90.00°, β = 90.00° and γ = 90.00°. The inequivalent atoms are Sb at (0.000, 0.000, 0.000), Sb at (0.000, 0.500, 0.186), Pt at (0.000, 0.000, 0.502) and Se at (0.000, 0.500, 0.832).

The calculation puts the total energy at -5.05 eV/atom. The calculation puts the total magnetization at 0.00 μB per formula unit. The calculation puts the density of states at the Fermi level at 4.32 states/eV/cell. The calculation puts the uncorrected formation energy at -0.064 eV per atom. As for the calculated volume: 23.0 A^3/atom.